<one>
Material: ZnPb2C
Method: DFT, PBE
State: relaxed

Cell lengths 6.2191, 6.2191, 6.8471 Å; angles 62.99, 62.99, 90.00 degrees
Fractional coordinates of all 8 atoms:
Pb 0.5643 0.1250 0.2500
Pb 0.1857 0.6250 0.2500
Pb 0.3750 0.4357 0.7500
Pb 0.8750 0.8143 0.7500
Zn 0.0000 0.0000 0.0000
Zn 0.7500 0.2500 0.5000
C 0.5000 0.5000 0.0000
C 0.2500 0.7500 0.5000

Space group: I-42d, No. 122
V in Å³/cell: 203
Mass density in g/cm³: 8.0
DOS(E_F) in states/eV/atom: 0.0281

<two>
Material: ZnPb2C
Method: DFT, PBE
State: relaxed

Cell lengths 4.9226, 4.9226, 4.9226 Å; angles 60.00, 60.00, 60.00 degrees
Fractional coordinates of all 4 atoms:
Pb 0.2500 0.2500 0.2500
Pb 0.7500 0.7500 0.7500
Zn 0.5000 0.5000 0.5000
C 0.0000 0.0000 0.0000

Space group: Fm-3m, No. 225
V in Å³/cell: 84
Mass density in g/cm³: 9.7
DOS(E_F) in states/eV/atom: 0.5580

Stability summary - winner: <one>; margin: 327 meV per atom.

<one>
Material: ZnPbC3
Method: DFT, PBE
State: relaxed

Cell lengths 4.5002, 4.5002, 4.5002 Å; angles 90.00, 90.00, 90.00 degrees
Site moments in Bohr magnetons follow the coordinates.
Fractional coordinates of all 5 atoms:
Pb 0.0000 0.0000 0.0000  0.01
Zn 0.5000 0.5000 0.5000  -0.04
C 0.0000 0.5000 0.0000  0.37
C 0.0000 0.0000 0.5000  0.32
C 0.5000 0.0000 0.0000  0.39

Space group: Pm-3m, No. 221
V in Å³/cell: 91
Mass density in g/cm³: 5.6
DOS(E_F) in states/eV/atom: 0.8558

<two>
Material: ZnPbC3
Method: DFT, PBE
State: relaxed

Cell lengths 4.1161, 4.1161, 4.1161 Å; angles 90.00, 90.00, 90.00 degrees
Fractional coordinates of all 5 atoms:
Pb 0.5000 0.5000 0.5000
Zn 0.0000 0.0000 0.0000
C 0.0000 0.5000 0.0000
C 0.0000 0.0000 0.5000
C 0.5000 0.0000 0.0000

Space group: Pm-3m, No. 221
V in Å³/cell: 70
Mass density in g/cm³: 7.3
DOS(E_F) in states/eV/atom: 0.6347

Stability summary - winner: <two>; margin: 758 meV per atom.

<one>
Material: Zr4PbC
Method: DFT, PBE
State: relaxed

Cell lengths 3.2916, 5.2530, 7.8549 Å; angles 108.00, 90.00, 90.00 degrees
Fractional coordinates of all 6 atoms:
Zr 0.0000 0.9158 0.2702
Zr 0.5000 0.3030 0.0921
Zr 0.5000 0.6970 0.9079
Zr 0.0000 0.0842 0.7298
Pb 0.5000 0.5000 0.5000
C 0.0000 0.0000 0.0000

Space group: P2/m, No. 10
V in Å³/cell: 129
Mass density in g/cm³: 7.5
DOS(E_F) in states/eV/atom: 0.6736

<two>
Material: Zr4PbC
Method: DFT, PBE
State: relaxed

Cell lengths 5.8374, 5.9348, 7.6103 Å; angles 90.00, 76.84, 90.00 degrees
Fractional coordinates of all 12 atoms:
Zr 0.9645 0.5866 0.2214
Zr 0.5355 0.0866 0.7786
Zr 0.3714 0.3558 0.4123
Zr 0.1286 0.8558 0.5877
Zr 0.0355 0.4134 0.7786
Zr 0.4645 0.9134 0.2214
Zr 0.6286 0.6442 0.5877
Zr 0.8714 0.1442 0.4123
Pb 0.0000 0.0000 0.0000
Pb 0.5000 0.5000 0.0000
C 0.5000 0.0000 0.5000
C 0.0000 0.5000 0.5000

Space group: P2_1/c, No. 14
V in Å³/cell: 257
Mass density in g/cm³: 7.6
DOS(E_F) in states/eV/atom: 0.6796

Stability summary - winner: <one>; margin: 120 meV per atom.

<one>
Material: Pm2PdC
Method: DFT, PBE
State: relaxed

Cell lengths 3.3140, 3.3140, 7.0047 Å; angles 90.00, 90.00, 90.00 degrees
Fractional coordinates of all 4 atoms:
C 0.5000 0.5000 0.0000
Pd 0.5000 0.5000 0.5000
Pm 0.0000 0.0000 0.7959
Pm 0.0000 0.0000 0.2041

Space group: P4/mmm, No. 123
V in Å³/cell: 77
Mass density in g/cm³: 8.8
DOS(E_F) in states/eV/atom: 0.4159

<two>
Material: Pm2PdC
Method: DFT, PBE
State: relaxed

Cell lengths 3.5901, 3.5901, 8.6055 Å; angles 77.96, 77.96, 60.00 degrees
Fractional coordinates of all 4 atoms:
C 0.5000 0.5000 0.5000
Pd 0.0000 0.0000 0.0000
Pm 0.1101 0.1101 0.6697
Pm 0.8899 0.8899 0.3303

Space group: R-3m, No. 166
V in Å³/cell: 93
Mass density in g/cm³: 7.3
DOS(E_F) in states/eV/atom: 0.4867

Stability summary - winner: <one>; margin: 56 meV per atom.

<one>
Material: PdPtC2
Method: DFT, PBE
State: relaxed

Cell lengths 3.9507, 3.9507, 3.9507 Å; angles 60.00, 60.00, 60.00 degrees
Fractional coordinates of all 4 atoms:
C 0.2500 0.2500 0.2500
C 0.7500 0.7500 0.7500
Pd 0.0000 0.0000 0.0000
Pt 0.5000 0.5000 0.5000

Space group: Fm-3m, No. 225
V in Å³/cell: 44
Mass density in g/cm³: 12.4
DOS(E_F) in states/eV/atom: 0.6054

<two>
Material: PdPtC2
Method: DFT, PBE
State: relaxed

Cell lengths 4.7386, 4.7386, 5.7824 Å; angles 65.81, 65.81, 90.00 degrees
Fractional coordinates of all 8 atoms:
C 0.6351 0.1250 0.2500
C 0.1149 0.6250 0.2500
C 0.3750 0.3649 0.7500
C 0.8750 0.8851 0.7500
Pd 0.5000 0.5000 0.0000
Pd 0.2500 0.7500 0.5000
Pt 0.0000 0.0000 0.0000
Pt 0.7500 0.2500 0.5000

Space group: I-42d, No. 122
V in Å³/cell: 106
Mass density in g/cm³: 10.2
DOS(E_F) in states/eV/atom: 0.4972

Stability summary - winner: <two>; margin: 855 meV per atom.

<one>
Material: Pd2PtC2
Method: DFT, PBE
State: relaxed

Cell lengths 3.9698, 3.9698, 4.7111 Å; angles 65.08, 65.08, 90.00 degrees
Fractional coordinates of all 5 atoms:
C 0.4067 0.4067 0.1867
C 0.5933 0.5933 0.8133
Pd 0.7500 0.2500 0.5000
Pd 0.2500 0.7500 0.5000
Pt 0.0000 0.0000 0.0000

Space group: I4/mmm, No. 139
V in Å³/cell: 60
Mass density in g/cm³: 12.0
DOS(E_F) in states/eV/atom: 0.6374

<two>
Material: Pd2PtC2
Method: DFT, PBE
State: relaxed

Cell lengths 6.1048, 6.1048, 3.2569 Å; angles 90.00, 90.00, 90.00 degrees
Fractional coordinates of all 10 atoms:
C 0.3171 0.8171 0.0000
C 0.8171 0.6829 0.0000
C 0.6829 0.1829 0.0000
C 0.1829 0.3171 0.0000
Pd 0.1602 0.6602 0.5000
Pd 0.6602 0.8398 0.5000
Pd 0.8398 0.3398 0.5000
Pd 0.3398 0.1602 0.5000
Pt 0.0000 0.0000 0.0000
Pt 0.5000 0.5000 0.0000

Space group: P4/mbm, No. 127
V in Å³/cell: 121
Mass density in g/cm³: 11.8
DOS(E_F) in states/eV/atom: 0.5824

Stability summary - winner: <one>; margin: 295 meV per atom.

<one>
Material: RbPdC3
Method: DFT, PBE
State: relaxed

Cell lengths 4.2890, 4.2890, 4.2890 Å; angles 90.00, 90.00, 90.00 degrees
Site moments in Bohr magnetons follow the coordinates.
Fractional coordinates of all 5 atoms:
C 0.0000 0.5000 0.0000  0.69
C 0.0000 0.0000 0.5000  0.80
C 0.5000 0.0000 0.0000  0.60
Rb 0.5000 0.5000 0.5000  0.10
Pd 0.0000 0.0000 0.0000  0.46

Space group: Pm-3m, No. 221
V in Å³/cell: 79
Mass density in g/cm³: 4.8
DOS(E_F) in states/eV/atom: 0.6647

<two>
Material: RbPdC3
Method: DFT, PBE
State: relaxed

Cell lengths 4.3985, 4.3985, 4.3985 Å; angles 90.00, 90.00, 90.00 degrees
Fractional coordinates of all 5 atoms:
C 0.0000 0.5000 0.0000
C 0.0000 0.0000 0.5000
C 0.5000 0.0000 0.0000
Rb 0.0000 0.0000 0.0000
Pd 0.5000 0.5000 0.5000

Space group: Pm-3m, No. 221
V in Å³/cell: 85
Mass density in g/cm³: 4.4
DOS(E_F) in states/eV/atom: 0.6627

Stability summary - winner: <one>; margin: 1893 meV per atom.

<one>
Material: Re3PdC
Method: DFT, PBE
State: relaxed

Cell lengths 4.6824, 4.6824, 4.6824 Å; angles 90.00, 90.00, 90.00 degrees
Fractional coordinates of all 5 atoms:
Re 0.0000 0.5000 0.0000
Re 0.0000 0.0000 0.5000
Re 0.5000 0.0000 0.0000
C 0.5000 0.5000 0.5000
Pd 0.0000 0.0000 0.0000

Space group: Pm-3m, No. 221
V in Å³/cell: 103
Mass density in g/cm³: 11.0
DOS(E_F) in states/eV/atom: 2.0611

<two>
Material: Re3PdC
Method: DFT, PBE
State: relaxed

Cell lengths 4.0803, 4.0803, 4.0803 Å; angles 90.00, 90.00, 90.00 degrees
Fractional coordinates of all 5 atoms:
Re 0.0000 0.5000 0.0000
Re 0.0000 0.0000 0.5000
Re 0.5000 0.0000 0.0000
C 0.0000 0.0000 0.0000
Pd 0.5000 0.5000 0.5000

Space group: Pm-3m, No. 221
V in Å³/cell: 68
Mass density in g/cm³: 16.5
DOS(E_F) in states/eV/atom: 1.2994

Stability summary - winner: <two>; margin: 3618 meV per atom.

<one>
Material: Pd3RhC
Method: DFT, PBE
State: relaxed

Cell lengths 4.8204, 4.8204, 4.8204 Å; angles 90.00, 90.00, 90.00 degrees
Site moments in Bohr magnetons follow the coordinates.
Fractional coordinates of all 5 atoms:
C 0.5000 0.5000 0.5000  0.73
Rh 0.0000 0.0000 0.0000  1.09
Pd 0.0000 0.5000 0.0000  0.29
Pd 0.0000 0.0000 0.5000  0.55
Pd 0.5000 0.0000 0.0000  0.14

Space group: Pm-3m, No. 221
V in Å³/cell: 112
Mass density in g/cm³: 6.4
DOS(E_F) in states/eV/atom: 1.7154

<two>
Material: Pd3RhC
Method: DFT, PBE
State: relaxed

Cell lengths 4.1237, 4.1237, 4.1237 Å; angles 90.00, 90.00, 90.00 degrees
Fractional coordinates of all 5 atoms:
C 0.0000 0.0000 0.0000
Rh 0.5000 0.5000 0.5000
Pd 0.0000 0.5000 0.0000
Pd 0.0000 0.0000 0.5000
Pd 0.5000 0.0000 0.0000

Space group: Pm-3m, No. 221
V in Å³/cell: 70
Mass density in g/cm³: 10.3
DOS(E_F) in states/eV/atom: 1.4929

Stability summary - winner: <two>; margin: 1950 meV per atom.

<one>
Material: ScPdRh2C
Method: DFT, PBE
State: relaxed

Cell lengths 3.9923, 3.9923, 4.5291 Å; angles 90.00, 90.00, 90.00 degrees
Fractional coordinates of all 5 atoms:
Sc 0.0000 0.0000 0.5000
C 0.0000 0.0000 0.0000
Rh 0.0000 0.5000 0.0000
Rh 0.5000 0.0000 0.0000
Pd 0.5000 0.5000 0.5000

Space group: P4/mmm, No. 123
V in Å³/cell: 72
Mass density in g/cm³: 8.5
DOS(E_F) in states/eV/atom: 0.5730

<two>
Material: ScPdRh2C
Method: DFT, PBE
State: relaxed

Cell lengths 4.0731, 4.0731, 4.2941 Å; angles 90.00, 90.00, 90.00 degrees
Fractional coordinates of all 5 atoms:
Sc 0.5000 0.5000 0.5000
C 0.0000 0.0000 0.0000
Rh 0.0000 0.5000 0.0000
Rh 0.5000 0.0000 0.0000
Pd 0.0000 0.0000 0.5000

Space group: P4/mmm, No. 123
V in Å³/cell: 71
Mass density in g/cm³: 8.6
DOS(E_F) in states/eV/atom: 0.4291

Stability summary - winner: <two>; margin: 18 meV per atom.

<one>
Material: YPdRh2C
Method: DFT, PBE
State: relaxed

Cell lengths 4.0264, 4.0264, 4.8559 Å; angles 90.00, 90.00, 90.00 degrees
Fractional coordinates of all 5 atoms:
Y 0.0000 0.0000 0.5000
C 0.0000 0.0000 0.0000
Rh 0.0000 0.5000 0.0000
Rh 0.5000 0.0000 0.0000
Pd 0.5000 0.5000 0.5000

Space group: P4/mmm, No. 123
V in Å³/cell: 79
Mass density in g/cm³: 8.7
DOS(E_F) in states/eV/atom: 0.2740

<two>
Material: YPdRh2C
Method: DFT, PBE
State: relaxed

Cell lengths 4.1410, 4.1410, 4.4132 Å; angles 90.00, 90.00, 90.00 degrees
Fractional coordinates of all 5 atoms:
Y 0.5000 0.5000 0.5000
C 0.0000 0.0000 0.0000
Rh 0.0000 0.5000 0.0000
Rh 0.5000 0.0000 0.0000
Pd 0.0000 0.0000 0.5000

Space group: P4/mmm, No. 123
V in Å³/cell: 76
Mass density in g/cm³: 9.1
DOS(E_F) in states/eV/atom: 0.4141

Stability summary - winner: <two>; margin: 66 meV per atom.

<one>
Material: Sr2PdRuC
Method: DFT, PBE
State: relaxed

Cell lengths 5.4258, 5.4258, 3.8793 Å; angles 90.00, 90.00, 90.00 degrees
Fractional coordinates of all 5 atoms:
Ru 0.0000 0.0000 0.5000
C 0.0000 0.0000 0.0000
Pd 0.5000 0.5000 0.5000
Sr 0.0000 0.5000 0.0000
Sr 0.5000 0.0000 0.0000

Space group: P4/mmm, No. 123
V in Å³/cell: 114
Mass density in g/cm³: 5.7
DOS(E_F) in states/eV/atom: 0.7930

<two>
Material: Sr2PdRuC
Method: DFT, PBE
State: relaxed

Cell lengths 5.7438, 4.6599, 5.7438 Å; angles 90.00, 90.00, 90.00 degrees
Site moments in Bohr magnetons follow the coordinates.
Fractional coordinates of all 5 atoms:
Ru 0.0000 0.0000 0.0000  0.12
C 0.5000 0.5000 0.5000  0.99
Pd 0.0000 0.5000 0.0000  0.04
Sr 0.0000 0.0000 0.5000  0.01
Sr 0.5000 0.0000 0.0000  0.01

Space group: P4/mmm, No. 123
V in Å³/cell: 154
Mass density in g/cm³: 4.3
DOS(E_F) in states/eV/atom: 0.8166

Stability summary - winner: <one>; margin: 1349 meV per atom.

<one>
Material: Pd2CS2
Method: DFT, PBE
State: relaxed

Cell lengths 5.5542, 5.5542, 5.1097 Å; angles 90.00, 90.00, 90.00 degrees
Fractional coordinates of all 10 atoms:
S 0.1305 0.6305 0.5000
S 0.6305 0.8695 0.5000
S 0.8695 0.3695 0.5000
S 0.3695 0.1305 0.5000
C 0.0000 0.0000 0.0000
C 0.5000 0.5000 0.0000
Pd 0.1774 0.6774 0.0000
Pd 0.6774 0.8226 0.0000
Pd 0.8226 0.3226 0.0000
Pd 0.3226 0.1774 0.0000

Space group: P4/mbm, No. 127
V in Å³/cell: 158
Mass density in g/cm³: 6.1
DOS(E_F) in states/eV/atom: 0.5491

<two>
Material: Pd2CS2
Method: DFT, PBE
State: relaxed

Cell lengths 3.1641, 3.1641, 7.9453 Å; angles 78.51, 78.51, 90.00 degrees
Fractional coordinates of all 5 atoms:
S 0.7500 0.2500 0.5000
S 0.2500 0.7500 0.5000
C 0.0000 0.0000 0.0000
Pd 0.4180 0.4180 0.1641
Pd 0.5820 0.5820 0.8359

Space group: I4/mmm, No. 139
V in Å³/cell: 76
Mass density in g/cm³: 6.3
DOS(E_F) in states/eV/atom: 0.6186

Stability summary - winner: <one>; margin: 815 meV per atom.

<one>
Material: SbPd2C
Method: DFT, PBE
State: relaxed

Cell lengths 4.4354, 4.4354, 4.4354 Å; angles 60.00, 60.00, 60.00 degrees
Fractional coordinates of all 4 atoms:
Sb 0.5000 0.5000 0.5000
C 0.0000 0.0000 0.0000
Pd 0.2500 0.2500 0.2500
Pd 0.7500 0.7500 0.7500

Space group: Fm-3m, No. 225
V in Å³/cell: 62
Mass density in g/cm³: 9.3
DOS(E_F) in states/eV/atom: 0.7527

<two>
Material: SbPd2C
Method: DFT, PBE
State: relaxed

Cell lengths 4.9902, 4.9902, 6.8817 Å; angles 68.74, 68.74, 90.00 degrees
Fractional coordinates of all 8 atoms:
Sb 0.0000 0.0000 0.0000
Sb 0.7500 0.2500 0.5000
C 0.5000 0.5000 0.0000
C 0.2500 0.7500 0.5000
Pd 0.5061 0.1250 0.2500
Pd 0.2439 0.6250 0.2500
Pd 0.3750 0.4939 0.7500
Pd 0.8750 0.7561 0.7500

Space group: I-42d, No. 122
V in Å³/cell: 147
Mass density in g/cm³: 7.8
DOS(E_F) in states/eV/atom: 0.4397

Stability summary - winner: <two>; margin: 458 meV per atom.